Computed, not measured: a PBEsol-optimized structure of ZrSc2Mo at the meta-GGA SCAN level of DFT.

- relative energy among the computed polymorphs (meV/atom) = 18.1
- ΔH_f (0 K) (meV/atom) = 91.0
- space group = Imm2, No. 44

Lattice parameters (Å, degrees): 3.459 4.997 5.599 116.50 107.99 90.00
Fractional positions:
1 Sc 0.971 0.971 0.943
2 Sc 0.754 0.254 0.508
3 Zr 0.535 0.535 0.070
4 Mo 0.239 0.739 0.479

Computed, not measured: a PBEsol-optimized structure of Zr2CuCl at the meta-GGA SCAN level of DFT.

- formation energy from raw total energies (meV/atom) = -400
- space group = P4/mmm, No. 123

Lattice parameters (Å, degrees): 3.073 3.073 7.162 90.00 90.00 90.00
Fractional positions:
1 Zr 0.000 0.000 0.260
2 Zr 0.000 0.000 0.740
3 Cu 0.500 0.500 0.500
4 Cl 0.500 0.500 0.000

Computed, not measured: a PBEsol-optimized structure of ZrTeCl2 at the meta-GGA SCAN level of DFT.

- relative energy among the computed polymorphs (meV/atom) = 0.0
- formation energy from raw total energies (meV/atom) = -1509
- space group = Cm, No. 8

Lattice parameters (Å, degrees): 3.199 6.468 6.641 118.90 90.00 104.32
Fractional positions:
1 Cl 0.751 0.502 0.176
2 Cl 0.916 0.832 0.900
3 Zr 0.259 0.519 0.893
4 Te 0.574 0.148 0.530

Computed, not measured: a PBEsol-optimized structure of SrMg2Hg at the meta-GGA SCAN level of DFT.

- ΔH_f (0 K) (meV/atom) = -289.5
- space group = P4mm, No. 99

Lattice parameters (Å, degrees): 3.701 3.701 7.776 90.00 90.00 90.00
Fractional positions:
1 Sr 0.000 0.000 0.523
2 Mg 0.000 0.000 0.980
3 Mg 0.500 0.500 0.203
4 Hg 0.500 0.500 0.794

Computed, not measured: a PBEsol-optimized structure of KYH2 at the meta-GGA SCAN level of DFT.

- electronic total energy (eV/atom) = -10.318
- space group = Fm-3m, No. 225

Lattice parameters (Å, degrees): 4.473 4.473 4.473 60.00 60.00 60.00
Last column: magnetic moment on the atom in μB.
Fractional positions:
1 Y 0.500 0.500 0.500  0.88
2 H 0.750 0.750 0.750  -0.02
3 H 0.250 0.250 0.250  -0.02
4 K 0.000 0.000 0.000  0.11

Computed, not measured: a PBEsol-optimized structure of CuP2Ru at the meta-GGA SCAN level of DFT.

- relative energy among the computed polymorphs (meV/atom) = 286.5
- ΔH_f (0 K) (meV/atom) = 235.8
- space group = I-4m2, No. 119

Lattice parameters (Å, degrees): 3.548 3.548 4.718 112.09 112.09 90.00
Fractional positions:
1 P 0.000 0.000 0.000
2 P 0.750 0.250 0.500
3 Ru 0.500 0.500 0.000
4 Cu 0.250 0.750 0.500

Computed, not measured: a PBEsol-optimized structure of Ca2SbRu at the meta-GGA SCAN level of DFT.

- formation energy from raw total energies (meV/atom) = -205
- space group = I4/mmm, No. 139

Lattice parameters (Å, degrees): 4.467 4.469 5.331 114.78 114.77 90.00
Fractional positions:
1 Ca 0.750 0.750 0.500
2 Ca 0.250 0.250 0.500
3 Sb 0.000 0.500 0.000
4 Ru 0.500 0.000 0.000

Computed, not measured: a PBEsol-optimized structure of AlFe2BIr at the meta-GGA SCAN level of DFT.

- ΔH_f (0 K) (meV/atom) = -268.1
- space group = P4/mmm, No. 123

Lattice parameters (Å, degrees): 3.788 3.788 4.051 90.00 90.00 90.00
Last column: magnetic moment on the atom in μB.
Fractional positions:
1 Al 0.500 0.500 0.500  -0.06
2 Ir 0.000 0.000 0.500  -0.05
3 Fe 0.500 0.000 0.000  2.11
4 Fe 0.000 0.500 0.000  2.11
5 B 0.000 0.000 0.000  -0.18

Computed, not measured: a PBEsol-optimized structure of RbDyMo2O8 at the meta-GGA SCAN level of DFT.

- formation energy from raw total energies (meV/atom) = -2641
- space group = C2/c, No. 15

Lattice parameters (Å, degrees): 7.385 7.385 7.623 62.09 62.09 88.63
Fractional positions:
1 O 0.766 0.613 0.062
2 O 0.584 0.367 0.971
3 O 0.367 0.584 0.471
4 O 0.795 0.950 0.696
5 O 0.613 0.929 0.126
6 O 0.416 0.633 0.029
7 O 0.234 0.387 0.938
8 O 0.205 0.050 0.304
9 O 0.613 0.766 0.562
10 O 0.633 0.416 0.529
11 O 0.387 0.234 0.438
12 O 0.050 0.205 0.804
13 O 0.950 0.795 0.196
14 O 0.387 0.071 0.874
15 O 0.071 0.387 0.374
16 O 0.929 0.613 0.626
17 Mo 0.304 0.305 0.738
18 Mo 0.305 0.304 0.238
19 Mo 0.696 0.695 0.262
20 Mo 0.695 0.696 0.762
21 Rb 0.804 0.196 0.250
22 Rb 0.196 0.804 0.750
23 Dy 0.770 0.230 0.750
24 Dy 0.230 0.770 0.250

Computed, not measured: a PBEsol-optimized structure of MnZnCo2 at the meta-GGA SCAN level of DFT.

- ΔH_f (0 K) (meV/atom) = -62.0
- space group = P4mm, No. 99

Lattice parameters (Å, degrees): 2.632 2.632 6.692 90.00 90.00 89.96
Last column: magnetic moment on the atom in μB.
Fractional positions:
1 Zn 0.500 0.500 0.238  -0.08
2 Mn 0.000 0.000 0.516  3.51
3 Co 0.500 0.500 0.764  1.79
4 Co 0.000 0.000 0.983  1.71

Computed, not measured: a PBEsol-optimized structure of UPbSe2O8 at the meta-GGA SCAN level of DFT.

- formation energy from raw total energies (meV/atom) = -1775
- space group = Pmc2_1, No. 26

Lattice parameters (Å, degrees): 5.853 11.330 11.880 90.00 90.00 90.00
Fractional positions:
1 O 0.159 0.136 0.849
2 O 0.255 0.578 0.278
3 O 0.182 0.815 0.350
4 O 0.577 0.482 0.500
5 O 0.849 0.890 0.146
6 O 0.151 0.390 0.854
7 O 0.839 0.629 0.391
8 O 0.839 0.629 0.609
9 O 0.423 0.982 0.500
10 O 0.745 0.078 0.278
11 O 0.745 0.078 0.722
12 O 0.841 0.636 0.151
13 O 0.182 0.815 0.650
14 O 0.818 0.315 0.350
15 O 0.161 0.129 0.391
16 O 0.689 0.072 0.000
17 O 0.159 0.136 0.151
18 O 0.818 0.315 0.650
19 O 0.151 0.390 0.146
20 O 0.740 0.279 0.888
21 O 0.702 0.847 0.336
22 O 0.311 0.572 0.000
23 O 0.161 0.129 0.609
24 O 0.740 0.279 0.112
25 O 0.260 0.779 0.112
26 O 0.255 0.578 0.722
27 O 0.298 0.347 0.336
28 O 0.849 0.890 0.854
29 O 0.298 0.347 0.664
30 O 0.260 0.779 0.888
31 O 0.702 0.847 0.664
32 O 0.841 0.636 0.849
33 Se 0.367 0.447 0.232
34 Se 0.851 0.527 0.500
35 Se 0.594 0.214 0.000
36 Se 0.149 0.027 0.500
37 Se 0.367 0.447 0.768
38 Se 0.406 0.714 0.000
39 Se 0.633 0.947 0.768
40 Se 0.633 0.947 0.232
41 U 0.993 0.226 0.252
42 U 0.007 0.726 0.252
43 U 0.993 0.226 0.748
44 U 0.007 0.726 0.748
45 Pb 0.509 0.277 0.500
46 Pb 0.491 0.777 0.500
47 Pb 0.934 0.482 0.000
48 Pb 0.066 0.982 0.000

Computed, not measured: a PBEsol-optimized structure of MnSbPb2 at the meta-GGA SCAN level of DFT.

- formation energy from raw total energies (meV/atom) = 97
- space group = Fmmm, No. 69

Lattice parameters (Å, degrees): 4.360 4.366 6.227 109.34 109.30 93.20
Last column: magnetic moment on the atom in μB.
Fractional positions:
1 Pb 0.500 0.500 0.500  -0.01
2 Pb 0.000 0.000 0.500  -0.01
3 Sb 0.000 0.500 0.000  -0.06
4 Mn 0.500 0.000 0.000  4.36

Computed, not measured: a PBEsol-optimized structure of ScTePtN2 at the meta-GGA SCAN level of DFT.

- relative energy among the computed polymorphs (meV/atom) = 0.0
- formation energy from raw total energies (meV/atom) = 722
- space group = P4/mmm, No. 123

Lattice parameters (Å, degrees): 3.817 3.817 6.843 90.00 90.00 90.00
Fractional positions:
1 N 0.500 0.000 0.000
2 N 0.000 0.500 0.000
3 Pt 0.000 0.000 0.000
4 Sc 0.500 0.500 0.500
5 Te 0.000 0.000 0.500

| no. | magnetization (Bohr magnetons per cell) |
| --- | --- |
| 1 | 0.00 |
| 2 | 0.00 |
| 3 | 0.00 |
| 4 | 0.03 |
| 5 | 1.57 |
| 6 | 0.00 |
| 7 | 0.00 |
| 8 | 3.77 |
| 9 | 0.00 |
| 10 | 6.93 |
| 11 | 0.00 |
| 12 | 4.50 |
| 13 | 0.00 |